1.
The following is a DFT calculation (GGA-PBE) of a relaxed structure of BaAlV2In.

DFT total energy, eV/cell: -21.9
Calculated density, g/cm3: 4.22
ΔH_f (0 K), eV/atom: 0.944
Size of the total moment, μB per formula unit: 7.7
DOS(E_F), states/eV per cell: 6.0

Cell: 5.3418 5.3418 5.2536 Å, 90.00 90.00 90.00°
With the nearest neighbours (Å) after each atom.
Space group P4/mmm (No. 123)
Unique sites:
Ba: 0.0000 0.0000 0.0000 [1 per cell]  8 V 3.75, 4 Al 3.78
Al: 0.5000 0.5000 0.0000 [1 per cell]  2 In 2.63
V: 0.0000 0.5000 0.5000 [2 per cell]  2 In 2.67
In: 0.5000 0.5000 0.5000 [1 per cell]  2 Al 2.63, 4 V 2.67

---

2.
The following is a DFT calculation (GGA-PBE) of a relaxed structure of BaAlZnIn2.

DFT total energy, eV/cell: -27.6
Calculated density, g/cm3: 5.68
ΔH_f (0 K), eV/atom: -0.273
Size of the total moment, μB per formula unit: 0.0
DOS(E_F), states/eV per cell: 3.1

Cell: 4.7664 4.7664 11.8216 Å, 90.00 90.00 90.00°
With the nearest neighbours (Å) after each atom.
Space group I-4m2 (No. 119)
Unique sites:
Ba: 0.0000 0.0000 0.0000 [2 per cell]  8 In 3.67, 4 Al 3.80, 4 Zn 3.80
Al: 0.0000 0.5000 0.2500 [2 per cell]  4 In 2.81
Zn: 0.0000 0.5000 0.7500 [2 per cell]  4 In 2.81
In: 0.0000 0.0000 0.3765 [4 per cell]  2 Al 2.81, 2 Zn 2.81, 1 In 2.92

---

3.
The following is a DFT calculation (GGA-PBE) of a relaxed structure of Ba2Al4Zn3In.

DFT total energy, eV/cell: -27.7
Calculated density, g/cm3: 4.85
ΔH_f (0 K), eV/atom: -0.236
Size of the total moment, μB per formula unit: 0.0
DOS(E_F), states/eV per cell: 4.5

Cell: 4.5663 4.5663 11.3786 Å, 90.00 90.00 90.00°
With the nearest neighbours (Å) after each atom.
Space group P-4m2 (No. 115)
Unique sites:
Ba: 0.0000 0.5000 0.2449 [2 per cell]  8 Al 3.48-3.60, 6 Zn 3.50-3.69, 2 In 3.69
Al: 0.0000 0.0000 0.0000 [1 per cell]  4 Zn 2.70
Al: 0.0000 0.5000 0.6411 [2 per cell]  3 Zn 2.65-2.79, 2 In 2.79
Al: 0.5000 0.5000 0.0000 [1 per cell]  4 Zn 2.70
Zn: 0.0000 0.5000 0.8739 [2 per cell]  5 Al 2.65-2.70
Zn: 0.5000 0.5000 0.5000 [1 per cell]  4 Al 2.79
In: 0.0000 0.0000 0.5000 [1 per cell]  4 Al 2.79

---

4.
The following is a DFT calculation (GGA-PBE) of a relaxed structure of Ba2Al4ZnIn3.

DFT total energy, eV/cell: -30.8
Calculated density, g/cm3: 5.04
ΔH_f (0 K), eV/atom: -0.252
Size of the total moment, μB per formula unit: 0.0
DOS(E_F), states/eV per cell: 2.3

Cell: 4.7567 4.7567 11.5287 Å, 90.00 90.00 90.00°
With the nearest neighbours (Å) after each atom.
Space group P-4m2 (No. 115)
Unique sites:
Ba: 0.0000 0.5000 0.2461 [2 per cell]  6 In 3.63-3.70, 8 Al 3.65-3.77, 2 Zn 3.70
Al: 0.0000 0.0000 0.5000 [1 per cell]  4 In 2.84
Al: 0.0000 0.5000 0.8758 [2 per cell]  3 In 2.78, 2 Zn 2.78
Al: 0.5000 0.5000 0.5000 [1 per cell]  4 In 2.84
Zn: 0.5000 0.5000 0.0000 [1 per cell]  4 Al 2.78
In: 0.0000 0.0000 0.0000 [1 per cell]  4 Al 2.78
In: 0.0000 0.5000 0.6350 [2 per cell]  5 Al 2.78-2.84

---

5.
The following is a DFT calculation (GGA-PBE) of a relaxed structure of Ba2Al3ZnIn4.

DFT total energy, eV/cell: -30.1
Calculated density, g/cm3: 5.43
ΔH_f (0 K), eV/atom: -0.280
Size of the total moment, μB per formula unit: 0.0
DOS(E_F), states/eV per cell: 2.2

Cell: 4.8253 4.8253 11.5655 Å, 90.00 90.00 90.00°
With the nearest neighbours (Å) after each atom.
Space group P-4m2 (No. 115)
Unique sites:
Ba: 0.0000 0.5000 0.2443 [2 per cell]  8 In 3.67-3.82, 6 Al 3.68-3.72, 2 Zn 3.72
Al: 0.0000 0.0000 0.0000 [1 per cell]  4 In 2.82
Al: 0.0000 0.5000 0.6354 [2 per cell]  5 In 2.75-2.88
Zn: 0.5000 0.5000 0.0000 [1 per cell]  4 In 2.82
In: 0.0000 0.0000 0.5000 [1 per cell]  4 Al 2.88
In: 0.0000 0.5000 0.8736 [2 per cell]  3 Al 2.75-2.82, 2 Zn 2.82
In: 0.5000 0.5000 0.5000 [1 per cell]  4 Al 2.88

---

6.
The following is a DFT calculation (GGA-PBE) of a relaxed structure of BaAl2Ir2.

DFT total energy, eV/cell: -58.1
Calculated density, g/cm3: 10.31
ΔH_f (0 K), eV/atom: -0.386
Excess energy over the best structure of this formula in the dataset, eV per atom: 0.191
Size of the total moment, μB per formula unit: 0.0
DOS(E_F), states/eV per cell: 3.0

Cell: 7.9207 7.9207 2.9563 Å, 90.00 90.00 90.00°
With the nearest neighbours (Å) after each atom.
Space group P4/mbm (No. 127)
Unique sites:
Ba: 0.0000 0.0000 0.0000 [2 per cell]  2 Ba 2.96, 4 Ir 3.03
Al: 0.1316 0.3684 0.5000 [4 per cell]  6 Ir 2.66-2.88, 3 Al 2.95-2.96
Ir: 0.1473 0.6473 0.0000 [4 per cell]  6 Al 2.66-2.88, 2 Ir 2.96

---

7.
The following is a DFT calculation (GGA-PBE) of a relaxed structure of BaAl3Ir.

DFT total energy, eV/cell: -24.5
Calculated density, g/cm3: 5.95
ΔH_f (0 K), eV/atom: -0.489
Size of the total moment, μB per formula unit: 0.0
DOS(E_F), states/eV per cell: 0.7

Cell: 4.8569 4.8569 4.8569 Å, 90.00 90.00 90.00°
With the nearest neighbours (Å) after each atom.
Space group Pm-3m (No. 221)
Unique sites:
Ba: 0.0000 0.0000 0.0000 [1 per cell]  12 Al 3.43
Al: 0.0000 0.5000 0.5000 [3 per cell]  2 Ir 2.43
Ir: 0.5000 0.5000 0.5000 [1 per cell]  6 Al 2.43

---

8.
The following is a DFT calculation (GGA-PBE) of a relaxed structure of BaAl3Ir.

DFT total energy, eV/cell: -99.2
Calculated density, g/cm3: 6.03
ΔH_f (0 K), eV/atom: -0.559
Size of the total moment, μB per formula unit: 0.0
DOS(E_F), states/eV per cell: 5.6

Cell: 6.4181 9.7647 7.2186 Å, 90.00 90.00 90.00°
With the nearest neighbours (Å) after each atom.
Space group Imma (No. 74)
Unique sites:
Ba: 0.0000 0.2500 0.0922 [4 per cell]  12 Al 3.45-3.68, 2 Ir 3.82
Al: 0.0000 0.2500 0.5820 [4 per cell]  2 Ir 2.51, 4 Al 2.80
Al: 0.2500 0.0510 0.7500 [8 per cell]  2 Ir 2.47
Ir: 0.0000 0.0000 0.5000 [4 per cell]  6 Al 2.47-2.51

---

9.
The following is a DFT calculation (GGA-PBE) of a relaxed structure of BaAl12Ir6.

DFT total energy, eV/cell: -341.9
Calculated density, g/cm3: 8.07
ΔH_f (0 K), eV/atom: -0.736
Size of the total moment, μB per formula unit: 0.0
DOS(E_F), states/eV per cell: 21.9

Cell: 11.5565 11.5565 8.6179 Å, 90.00 90.00 120.00°
With the nearest neighbours (Å) after each atom.
Space group R-3m (No. 166, hexagonal axes)
Unique sites:
Ba: 0.0000 0.0000 0.0000 [3 per cell]  6 Al 3.37
Al: 0.0000 0.3796 0.5000 [18 per cell]  4 Ir 2.54-2.58, 3 Al 2.75-2.78
Al: 0.0951 0.1903 0.3230 [18 per cell]  3 Ir 2.50-2.52, 2 Al 2.75
Ir: 0.0603 0.5302 0.2628 [18 per cell]  7 Al 2.50-2.58

---

10.
The following is a DFT calculation (GGA-PBE) of a relaxed structure of BaAl3Ir.

DFT total energy, eV/cell: -10.3
Calculated density, g/cm3: 4.02
ΔH_f (0 K), eV/atom: 2.342
Size of the total moment, μB per formula unit: 0.3
DOS(E_F), states/eV per cell: 6.9

Cell: 5.5342 5.5342 5.5342 Å, 90.00 90.00 90.00°
With the nearest neighbours (Å) after each atom.
Space group Pm-3m (No. 221)
Unique sites:
Ba: 0.0000 0.0000 0.0000 [1 per cell]  6 Al 2.77
Al: 0.0000 0.0000 0.5000 [3 per cell]  2 Ba 2.77
Ir: 0.5000 0.5000 0.5000 [1 per cell]  12 Al 3.91

---

11.
The following is a DFT calculation (GGA-PBE) of a relaxed structure of BaAl2Ir2.

DFT total energy, eV/cell: -60.0
Calculated density, g/cm3: 9.04
ΔH_f (0 K), eV/atom: -0.577
Excess energy over the best structure of this formula in the dataset, eV per atom: 0.000
Size of the total moment, μB per formula unit: 0.0
DOS(E_F), states/eV per cell: 2.1

Cell: 4.4375 4.4375 10.7442 Å, 90.00 90.00 90.00°
With the nearest neighbours (Å) after each atom.
Space group I4/mmm (No. 139)
Unique sites:
Ba: 0.0000 0.0000 0.0000 [2 per cell]  8 Ir 3.48, 10 Al 3.51-3.80
Al: 0.0000 0.0000 0.3538 [4 per cell]  4 Ir 2.48
Ir: 0.0000 0.5000 0.2500 [4 per cell]  4 Al 2.48

---

12.
The following is a DFT calculation (GGA-PBE) of a relaxed structure of BaAlIr4.

DFT total energy, eV/cell: -160.1
Calculated density, g/cm3: 13.82
ΔH_f (0 K), eV/atom: 0.179
Size of the total moment, μB per formula unit: 0.0
DOS(E_F), states/eV per cell: 32.2

Cell: 7.6545 7.6545 7.6545 Å, 90.00 90.00 90.00°
With the nearest neighbours (Å) after each atom.
Space group F-43m (No. 216)
Unique sites:
Ba: 0.0000 0.0000 0.0000 [4 per cell]  12 Ir 3.18, 4 Al 3.31
Al: 0.2500 0.2500 0.2500 [4 per cell]  12 Ir 3.17, 4 Ba 3.31
Ir: 0.1242 0.1242 0.6242 [16 per cell]  6 Ir 2.69-2.72

---

13.
The following is a DFT calculation (GGA-PBE) of a relaxed structure of KBa2AlIr.

DFT total energy, eV/cell: -18.1
Calculated density, g/cm3: 4.56
ΔH_f (0 K), eV/atom: -0.101
Size of the total moment, μB per formula unit: 0.0
DOS(E_F), states/eV per cell: 3.6

Cell: 6.2477 6.2477 4.9694 Å, 90.00 90.00 90.00°
With the nearest neighbours (Å) after each atom.
Space group P4/mmm (No. 123)
Unique sites:
K: 0.0000 0.0000 0.0000 [1 per cell]  8 Ba 3.99, 4 Al 4.42
Ba: 0.0000 0.5000 0.5000 [2 per cell]  2 Ir 3.12
Al: 0.5000 0.5000 0.0000 [1 per cell]  2 Ir 2.48
Ir: 0.5000 0.5000 0.5000 [1 per cell]  2 Al 2.48

---

14.
The following is a DFT calculation (GGA-PBE) of a relaxed structure of BaLa2AlIr.

DFT total energy, eV/cell: -26.1
Calculated density, g/cm3: 6.43
ΔH_f (0 K), eV/atom: -0.339
Excess energy over the best structure of this formula in the dataset, eV per atom: 0.000
Size of the total moment, μB per formula unit: 0.0
DOS(E_F), states/eV per cell: 4.7

Cell: 5.6780 5.6780 5.0795 Å, 90.00 90.00 90.00°
With the nearest neighbours (Å) after each atom.
Space group P4/mmm (No. 123)
Unique sites:
Ba: 0.0000 0.0000 0.0000 [1 per cell]  8 La 3.81, 4 Al 4.01
La: 0.0000 0.5000 0.5000 [2 per cell]  2 Ir 2.84
Al: 0.5000 0.5000 0.0000 [1 per cell]  2 Ir 2.54
Ir: 0.5000 0.5000 0.5000 [1 per cell]  2 Al 2.54, 4 La 2.84

---

15.
The following is a DFT calculation (GGA-PBE) of a relaxed structure of BaLa2AlIr.

DFT total energy, eV/cell: -20.3
Calculated density, g/cm3: 5.50
ΔH_f (0 K), eV/atom: 0.825
Excess energy over the best structure of this formula in the dataset, eV per atom: 1.164
Size of the total moment, μB per formula unit: 0.0
DOS(E_F), states/eV per cell: 5.1

Cell: 5.6595 5.6595 5.9785 Å, 90.00 90.00 90.00°
With the nearest neighbours (Å) after each atom.
Space group P4/mmm (No. 123)
Unique sites:
Ba: 0.0000 0.0000 0.0000 [1 per cell]  2 Al 2.99
La: 0.0000 0.5000 0.5000 [2 per cell]  2 Al 2.83
Al: 0.0000 0.0000 0.5000 [1 per cell]  4 La 2.83, 2 Ba 2.99
Ir: 0.5000 0.5000 0.0000 [1 per cell]  4 Ba 4.00, 8 La 4.12

---

16.
The following is a DFT calculation (GGA-PBE) of a relaxed structure of BaLi2AlIr.

DFT total energy, eV/cell: -19.3
Calculated density, g/cm3: 5.10
ΔH_f (0 K), eV/atom: -0.182
Size of the total moment, μB per formula unit: 0.0
DOS(E_F), states/eV per cell: 2.9

Cell: 5.0194 5.0194 4.7851 Å, 90.00 90.00 90.00°
With the nearest neighbours (Å) after each atom.
Space group P4/mmm (No. 123)
Unique sites:
Ba: 0.0000 0.0000 0.0000 [1 per cell]  8 Li 3.47, 4 Al 3.55
Li: 0.0000 0.5000 0.5000 [2 per cell]  2 Ir 2.51
Al: 0.5000 0.5000 0.0000 [1 per cell]  2 Ir 2.39
Ir: 0.5000 0.5000 0.5000 [1 per cell]  2 Al 2.39, 4 Li 2.51

---

17.
The following is a DFT calculation (GGA-PBE) of a relaxed structure of BaMg2AlIr.

DFT total energy, eV/cell: -19.6
Calculated density, g/cm3: 5.24
ΔH_f (0 K), eV/atom: -0.381
Size of the total moment, μB per formula unit: 0.0
DOS(E_F), states/eV per cell: 2.5

Cell: 5.1417 5.1417 4.8585 Å, 90.00 90.00 90.00°
With the nearest neighbours (Å) after each atom.
Space group P4/mmm (No. 123)
Unique sites:
Ba: 0.0000 0.0000 0.0000 [1 per cell]  8 Mg 3.54, 4 Al 3.64
Mg: 0.0000 0.5000 0.5000 [2 per cell]  2 Ir 2.57
Al: 0.5000 0.5000 0.0000 [1 per cell]  2 Ir 2.43
Ir: 0.5000 0.5000 0.5000 [1 per cell]  2 Al 2.43, 4 Mg 2.57

---

18.
The following is a DFT calculation (GGA-PBE) of a relaxed structure of BaNaAlIr2.

DFT total energy, eV/cell: -15.6
Calculated density, g/cm3: 6.45
ΔH_f (0 K), eV/atom: 1.817
Size of the total moment, μB per formula unit: 0.0
DOS(E_F), states/eV per cell: 1.4

Cell: 5.2249 5.2249 5.3919 Å, 90.00 90.00 90.00°
With the nearest neighbours (Å) after each atom.
Space group P4/mmm (No. 123)
Unique sites:
Ba: 0.0000 0.0000 0.0000 [1 per cell]  4 Ir 2.61, 2 Na 2.70
Na: 0.0000 0.0000 0.5000 [1 per cell]  2 Ba 2.70
Al: 0.5000 0.5000 0.5000 [1 per cell]  4 Na 3.69, 8 Ir 3.75
Ir: 0.0000 0.5000 0.0000 [2 per cell]  2 Ba 2.61

---

19.
The following is a DFT calculation (GGA-PBE) of a relaxed structure of Ba5AlIr2O11.

DFT total energy, eV/cell: -505.4
Calculated density, g/cm3: 6.79
Size of the total moment, μB per formula unit: 0.7
DOS(E_F), states/eV per cell: 34.0

Cell: 19.0097 5.8279 11.2537 Å, 90.00 90.00 90.00°
With the nearest neighbours (Å) after each atom.
Space group Pnma (No. 62)
Unique sites:
Ba: 0.0265 0.2500 0.1049 [4 per cell]  9 O 2.74-3.05
Ba: 0.0755 0.2500 0.4710 [4 per cell]  7 O 2.79-2.97
Ba: 0.1389 0.7500 0.6891 [4 per cell]  9 O 2.72-2.92
Ba: 0.1714 0.7500 0.0422 [4 per cell]  6 O 2.61-2.80
Ba: 0.2472 0.2500 0.8706 [4 per cell]  2 O 2.56-2.79
Al: 0.1881 0.2500 0.2360 [4 per cell]  4 O 1.75-1.78
Ir: 0.0614 0.2500 0.7865 [4 per cell]  6 O 1.96-2.10
Ir: 0.0643 0.7500 0.2937 [4 per cell]  6 O 1.96-2.08
O: 0.0127 0.0161 0.6714 [8 per cell]  2 Ir 2.04-2.10
O: 0.0313 0.7500 0.1178 [4 per cell]  2 Ir 2.07-2.08
O: 0.0997 0.0151 0.8926 [8 per cell]  1 Ir 1.96
O: 0.1033 0.7500 0.4548 [4 per cell]  1 Ir 1.96
O: 0.1353 0.5016 0.2464 [8 per cell]  1 Al 1.78
O: 0.1482 0.2500 0.6874 [4 per cell]  1 Ir 1.99
O: 0.2287 0.2500 0.0958 [4 per cell]  1 Al 1.76
O: 0.2471 0.2500 0.3555 [4 per cell]  1 Al 1.75

---

20.
The following is a DFT calculation (GGA-PBE) of a relaxed structure of Ba4AlIr2O10.

DFT total energy, eV/cell: -454.5
Calculated density, g/cm3: 7.17
Size of the total moment, μB per formula unit: 2.4
DOS(E_F), states/eV per cell: 36.2

Cell: 5.7910 13.5638 13.2228 Å, 90.00 90.00 90.00°
With the nearest neighbours (Å) after each atom.
Space group Cmc2_1 (No. 36)
Unique sites:
Ba: 0.0000 0.0081 0.0000 [4 per cell]  10 O 2.74-3.03
Ba: 0.0000 0.2162 0.2380 [4 per cell]  8 O 2.70-2.90
Ba: 0.0000 0.2848 0.5227 [4 per cell]  6 O 2.60-2.90
Ba: 0.0000 0.4882 0.7664 [4 per cell]  10 O 2.79-3.04
Al: 0.0000 0.3932 0.0371 [4 per cell]  5 O 1.78-1.97
Ir: 0.0000 0.1272 0.7299 [4 per cell]  6 O 1.97-2.11
Ir: 0.0000 0.2490 0.8897 [4 per cell]  6 O 1.98-2.07
O: 0.0000 0.0177 0.2264 [4 per cell]  1 Ir 1.97
O: 0.0000 0.2074 0.0335 [4 per cell]  1 Ir 1.98
O: 0.0000 0.2825 0.7367 [4 per cell]  2 Ir 2.07-2.11
O: 0.0000 0.4754 0.5433 [4 per cell]  1 Al 1.78
O: 0.2171 0.3583 0.9281 [8 per cell]  1 Al 1.97, 1 Ir 2.01
O: 0.2288 0.1401 0.8452 [8 per cell]  2 Ir 2.03-2.07
O: 0.2418 0.3683 0.1299 [8 per cell]  1 Al 1.89, 1 Ir 2.00